No. 1
DFT (GGA-PBE) results for crystalline Pr4AgRhAu2 at its relaxed geometry.

Geometry as POSCAR:
```
Pr4AgRhAu2
1.0
2.6319 1.5195 8.5125
-2.6319 1.5195 8.5125
0.0000 -3.0391 8.5125
Pr Ag Rh Au
4 1 1 2
Direct
0.1180 0.1180 0.1180
0.3687 0.3687 0.3687
0.6313 0.6313 0.6313
0.8820 0.8820 0.8820
0.5000 0.5000 0.5000
0.0000 0.0000 0.0000
0.2415 0.2415 0.2415
0.7585 0.7585 0.7585
```

DOS at the Fermi energy: 6.5 states/eV/cell
total energy: -5.079 eV per atom
calculated density: 9.50 g/cm³
magnetization: 0.0 μB/f.u.

No. 2
DFT (GGA-PBE) results for crystalline BeOsC3 at its relaxed geometry.

Geometry as POSCAR:
```
BeOsC3
1.0
3.9738 0.0000 0.0000
0.0000 3.9738 0.0000
0.0000 0.0000 3.9738
Be Os C
1 1 3
Direct
0.0000 0.0000 0.0000
0.5000 0.5000 0.5000
0.0000 0.5000 0.5000
0.5000 0.0000 0.5000
0.5000 0.5000 0.0000
```

DOS at the Fermi energy: 4.2 states/eV/cell
calculated density: 6.23 g/cm³
magnetization: 0.0 μB/f.u.
relative energy among the computed polymorphs: 0 meV/atom

No. 3
DFT (GGA-PBE) results for crystalline AsP2PbS8 at its relaxed geometry.

Geometry as POSCAR:
```
AsP2PbS8
1.0
2.9447 1.7001 8.7488
-2.9447 1.7001 8.7488
0.0000 -3.4003 8.7488
As P Pb S
1 2 1 8
Direct
0.0000 0.0000 0.0000
0.2521 0.2521 0.2521
0.7479 0.7479 0.7479
0.5000 0.5000 0.5000
0.0726 0.7077 0.3982
0.1752 0.1752 0.1752
0.2923 0.6018 0.9274
0.3982 0.0726 0.7077
0.6018 0.9274 0.2923
0.7077 0.3982 0.0726
0.8248 0.8248 0.8248
0.9274 0.2923 0.6018
```

DOS at the Fermi energy: 8.2 states/eV/cell
formation energy from raw total energies: -0.08 eV/atom
calculated density: 3.79 g/cm³
magnetization: 0.0 μB/f.u.

No. 4
DFT (GGA-PBE) results for crystalline TbGdSc2 at its relaxed geometry.

Geometry as POSCAR:
```
TbGdSc2
1.0
1.7142 0.9897 10.9569
-1.7142 0.9897 10.9569
0.0000 -1.9794 10.9569
Tb Gd Sc
1 1 2
Direct
0.0000 0.0000 0.0000
0.5000 0.5000 0.5000
0.2503 0.2503 0.2503
0.7497 0.7497 0.7497
```

DOS at the Fermi energy: 5.6 states/eV/cell
calculated density: 6.05 g/cm³
magnetization: 7.1 μB/f.u.
relative energy among the computed polymorphs: 12 meV/atom

No. 5
DFT (GGA-PBE) results for crystalline LaTeI2N at its relaxed geometry.

Geometry as POSCAR:
```
LaTeI2N
1.0
6.3922 0.0000 0.0000
0.0000 6.3922 0.0000
0.0000 0.0000 4.0330
La Te I N
1 1 2 1
Direct
0.0000 0.0000 0.0000
0.5000 0.5000 0.5000
0.0000 0.5000 0.5000
0.5000 0.0000 0.5000
0.5000 0.5000 0.0000
```

DOS at the Fermi energy: 6.0 states/eV/cell
formation energy from raw total energies: 0.23 eV/atom
calculated density: 5.38 g/cm³
magnetization: 0.1 μB/f.u.
relative energy among the computed polymorphs: 279 meV/atom

No. 6
DFT (GGA-PBE) results for crystalline Ba2CaW at its relaxed geometry.

Geometry as POSCAR:
```
Ba2CaW
1.0
-1.9577 3.1027 6.5649
1.9577 -3.1027 6.5649
1.9577 3.1027 -6.5649
Ba Ca W
2 1 1
Direct
0.0000 0.0000 0.0000
0.6930 0.1930 0.5000
0.3108 0.8108 0.5000
0.4925 0.4925 0.0000
```

DOS at the Fermi energy: 4.0 states/eV/cell
calculated density: 5.19 g/cm³
magnetization: 2.4 μB/f.u.
relative energy among the computed polymorphs: 6 meV/atom

No. 7
DFT (GGA-PBE) results for crystalline YZn2Cl at its relaxed geometry.

Geometry as POSCAR:
```
YZn2Cl
1.0
-1.9236 1.9236 5.5486
1.9236 -1.9236 5.5486
1.9236 1.9236 -5.5486
Y Zn Cl
1 2 1
Direct
0.0000 0.0000 0.0000
0.2500 0.7500 0.5000
0.7500 0.2500 0.5000
0.5000 0.5000 0.0000
```

DOS at the Fermi energy: 2.5 states/eV/cell
formation energy from raw total energies: -0.53 eV/atom
calculated density: 5.16 g/cm³
magnetization: 0.0 μB/f.u.
relative energy among the computed polymorphs: 67 meV/atom

No. 8
DFT (GGA-PBE) results for crystalline Hg2AsW at its relaxed geometry.

Geometry as POSCAR:
```
Hg2AsW
1.0
-2.1124 2.1124 4.3200
2.1124 -2.1124 4.3200
2.1124 2.1124 -4.3200
Hg As W
2 1 1
Direct
0.0000 0.0000 0.0000
0.7500 0.2500 0.5000
0.5000 0.5000 0.0000
0.2500 0.7500 0.5000
```

DOS at the Fermi energy: 3.1 states/eV/cell
total energy: -3.705 eV per atom
calculated density: 14.21 g/cm³
magnetization: 0.8 μB/f.u.

No. 9
DFT (GGA-PBE) results for crystalline HfV2Si at its relaxed geometry.

Geometry as POSCAR:
```
HfV2Si
1.0
-3.5965 3.5965 2.5829
3.5965 -3.5965 2.5829
3.5965 3.5965 -2.5829
Hf V Si
2 4 2
Direct
0.0000 0.0000 0.0000
0.7500 0.2500 0.5000
0.1698 0.1250 0.5448
0.3750 0.8302 0.9552
0.5802 0.6250 0.4552
0.8750 0.4198 0.0448
0.2500 0.7500 0.5000
0.5000 0.5000 0.0000
```

DOS at the Fermi energy: 8.9 states/eV/cell
formation energy from raw total energies: 0.26 eV/atom
calculated density: 7.67 g/cm³
magnetization: 0.0 μB/f.u.

No. 10
DFT (GGA-PBE) results for crystalline NdTc7N12 at its relaxed geometry.

Geometry as POSCAR:
```
NdTc7N12
1.0
-3.8221 3.8221 3.8221
3.8221 -3.8221 3.8221
3.8221 3.8221 -3.8221
Nd Tc N
1 7 12
Direct
0.0000 0.0000 0.0000
0.0000 0.0000 0.5000
0.0000 0.5000 0.0000
0.0000 0.5000 0.5000
0.5000 0.0000 0.0000
0.5000 0.0000 0.5000
0.5000 0.5000 0.0000
0.5000 0.5000 0.5000
0.1254 0.8176 0.3078
0.1824 0.3078 0.4902
0.1824 0.6922 0.8746
0.3078 0.1254 0.8176
0.3078 0.4902 0.1824
0.4902 0.1824 0.3078
0.5098 0.8176 0.6922
0.6922 0.5098 0.8176
0.6922 0.8746 0.1824
0.8176 0.3078 0.1254
0.8176 0.6922 0.5098
0.8746 0.1824 0.6922
```

DOS at the Fermi energy: 9.7 states/eV/cell
formation energy from raw total energies: 0.32 eV/atom
calculated density: 7.42 g/cm³
magnetization: 7.4 μB/f.u.

No. 11
DFT (GGA-PBE) results for crystalline Na3Tl2In5 at its relaxed geometry.

Geometry as POSCAR:
```
Na3Tl2In5
1.0
-4.8355 6.4930 4.9945
4.8355 -6.4930 4.9945
4.8355 6.4930 -4.9945
Na Tl In
6 4 10
Direct
0.1288 0.7427 0.8715
0.2500 0.2500 0.0000
0.3712 0.2427 0.6138
0.6288 0.7573 0.3862
0.7500 0.7500 0.0000
0.8712 0.2573 0.1285
0.1381 0.0832 0.2213
0.3619 0.5832 0.9451
0.6381 0.4168 0.0549
0.8619 0.9168 0.7787
0.0097 0.7500 0.2597
0.1189 0.3922 0.5111
0.2500 0.7500 0.5000
0.3811 0.8922 0.2733
0.4903 0.7500 0.7403
0.5097 0.2500 0.2597
0.6189 0.1078 0.7267
0.7500 0.2500 0.5000
0.8811 0.6078 0.4889
0.9903 0.2500 0.7403
```

DOS at the Fermi energy: 7.2 states/eV/cell
calculated density: 5.57 g/cm³
magnetization: 0.0 μB/f.u.
relative energy among the computed polymorphs: 15 meV/atom

No. 12
DFT (GGA-PBE) results for crystalline Si2IrAu at its relaxed geometry.

Geometry as POSCAR:
```
Si2IrAu
1.0
-1.4207 2.5790 4.3311
1.4207 -2.5790 4.3311
1.4207 2.5790 -4.3311
Si Ir Au
2 1 1
Direct
0.2316 0.2316 0.0000
0.7684 0.7684 0.0000
0.0000 0.5000 0.5000
0.5000 0.0000 0.5000
```

DOS at the Fermi energy: 2.2 states/eV/cell
formation energy from raw total energies: 0.24 eV/atom
calculated density: 11.65 g/cm³
magnetization: 0.0 μB/f.u.
relative energy among the computed polymorphs: 448 meV/atom

No. 13
DFT (GGA-PBE) results for crystalline Li5Hg6 at its relaxed geometry.

Geometry as POSCAR:
```
Li5Hg6
1.0
-2.3432 3.3883 6.8446
2.3432 -3.3883 6.8446
2.3432 3.3883 -6.8446
Li Hg
5 6
Direct
0.0000 0.0000 0.0000
0.1618 0.6618 0.5000
0.3176 0.3176 0.0000
0.6824 0.6824 0.0000
0.8382 0.3382 0.5000
0.1102 0.8423 0.2678
0.2706 0.5000 0.7706
0.4255 0.1577 0.2678
0.5745 0.8423 0.7322
0.7294 0.5000 0.2294
0.8898 0.1577 0.7322
```

DOS at the Fermi energy: 4.3 states/eV/cell
calculated density: 9.46 g/cm³
magnetization: 0.0 μB/f.u.
relative energy among the computed polymorphs: 0 meV/atom

No. 14
DFT (GGA-PBE) results for crystalline Ba3As2PbO8 at its relaxed geometry.

Geometry as POSCAR:
```
Ba3As2PbO8
1.0
5.8468 0.0000 0.0000
-2.9234 5.0635 0.0000
0.0000 0.0000 9.3562
Ba As Pb O
3 2 1 8
Direct
0.0000 0.0000 0.0000
0.3333 0.6667 0.7134
0.6667 0.3333 0.2866
0.3333 0.6667 0.1704
0.6667 0.3333 0.8296
0.0000 0.0000 0.5000
0.1728 0.3457 0.2332
0.1728 0.8272 0.2332
0.3333 0.6667 0.9862
0.3457 0.1728 0.7668
0.6543 0.8272 0.2332
0.6667 0.3333 0.0138
0.8272 0.1728 0.7668
0.8272 0.6543 0.7668
```

DOS at the Fermi energy: 0.4 states/eV/cell
formation energy from raw total energies: -1.89 eV/atom
calculated density: 5.38 g/cm³
magnetization: 2.0 μB/f.u.

No. 15
DFT (GGA-PBE) results for crystalline Li6Mg3Ga at its relaxed geometry.

Geometry as POSCAR:
```
Li6Mg3Ga
1.0
0.0000 4.9560 4.9560
4.9560 0.0000 4.9560
4.9560 4.9560 0.0000
Li Mg Ga
6 3 1
Direct
0.2410 0.2410 0.7590
0.2410 0.7590 0.2410
0.2410 0.7590 0.7590
0.7590 0.2410 0.2410
0.7590 0.2410 0.7590
0.7590 0.7590 0.2410
0.2500 0.2500 0.2500
0.5000 0.5000 0.5000
0.7500 0.7500 0.7500
0.0000 0.0000 0.0000
```

DOS at the Fermi energy: 5.3 states/eV/cell
calculated density: 1.26 g/cm³
magnetization: 0.0 μB/f.u.
relative energy among the computed polymorphs: 371 meV/atom

No. 16
DFT (GGA-PBE) results for crystalline NdCu3As2 at its relaxed geometry.

Geometry as POSCAR:
```
NdCu3As2
1.0
-1.9910 4.1999 6.4042
1.9910 -4.1999 6.4042
1.9910 4.1999 -6.4042
Nd Cu As
2 6 4
Direct
0.1339 0.1339 0.0000
0.8661 0.8661 0.0000
0.1151 0.3209 0.7942
0.3537 0.0000 0.3537
0.4733 0.6791 0.7942
0.5267 0.3209 0.2058
0.6463 0.0000 0.6463
0.8849 0.6791 0.2058
0.1925 0.5000 0.6925
0.3198 0.8198 0.5000
0.6802 0.1802 0.5000
0.8075 0.5000 0.3075
```

DOS at the Fermi energy: 5.0 states/eV/cell
total energy: -4.720 eV per atom
calculated density: 7.52 g/cm³
magnetization: 0.0 μB/f.u.

No. 17
DFT (GGA-PBE) results for crystalline LaHf3Ga at its relaxed geometry.

Geometry as POSCAR:
```
LaHf3Ga
1.0
5.1405 0.0000 0.0000
0.0000 5.1405 0.0000
0.0000 0.0000 5.1405
La Hf Ga
1 3 1
Direct
0.0000 0.0000 0.0000
0.0000 0.0000 0.5000
0.0000 0.5000 0.0000
0.5000 0.0000 0.0000
0.5000 0.5000 0.5000
```

DOS at the Fermi energy: 2.8 states/eV/cell
calculated density: 9.10 g/cm³
magnetization: 0.0 μB/f.u.
relative energy among the computed polymorphs: 1093 meV/atom

No. 18
DFT (GGA-PBE) results for crystalline Nb3Ir3Ru2 at its relaxed geometry.

Geometry as POSCAR:
```
Nb3Ir3Ru2
1.0
6.3561 -2.2374 0.0000
6.3561 2.2374 0.0000
-1.7068 0.0000 4.4866
Nb Ir Ru
3 3 2
Direct
0.0000 0.0000 0.0000
0.1356 0.1356 0.6920
0.8644 0.8644 0.3080
0.3647 0.3647 0.9257
0.5000 0.5000 0.5000
0.6353 0.6353 0.0743
0.2527 0.2527 0.3377
0.7473 0.7473 0.6623
```

DOS at the Fermi energy: 7.3 states/eV/cell
total energy: -9.580 eV per atom
calculated density: 13.76 g/cm³
magnetization: 0.0 μB/f.u.

No. 19
DFT (GGA-PBE) results for crystalline EuSnAs2 at its relaxed geometry.

Geometry as POSCAR:
```
EuSnAs2
1.0
2.0773 1.1993 7.0120
-2.0773 1.1993 7.0120
0.0000 -2.3987 7.0120
Eu Sn As
1 1 2
Direct
0.0000 0.0000 0.0000
0.5000 0.5000 0.5000
0.2426 0.2426 0.2426
0.7574 0.7574 0.7574
```

DOS at the Fermi energy: 6.6 states/eV/cell
calculated density: 6.66 g/cm³
magnetization: 6.8 μB/f.u.
relative energy among the computed polymorphs: 9 meV/atom

No. 20
DFT (GGA-PBE) results for crystalline RbSrCd4 at its relaxed geometry.

Geometry as POSCAR:
```
RbSrCd4
1.0
0.0000 4.5056 4.5056
4.5056 0.0000 4.5056
4.5056 4.5056 0.0000
Rb Sr Cd
1 1 4
Direct
0.0000 0.0000 0.0000
0.7500 0.7500 0.7500
0.3752 0.3752 0.3752
0.3752 0.3752 0.8744
0.3752 0.8744 0.3752
0.8744 0.3752 0.3752
```

DOS at the Fermi energy: 4.6 states/eV/cell
calculated density: 5.65 g/cm³
magnetization: 0.0 μB/f.u.
relative energy among the computed polymorphs: 21 meV/atom

No. 21
DFT (GGA-PBE) results for crystalline AcNdNiAg at its relaxed geometry.

Geometry as POSCAR:
```
AcNdNiAg
1.0
0.0000 3.7433 3.7433
3.7433 0.0000 3.7433
3.7433 3.7433 0.0000
Ac Nd Ni Ag
1 1 1 1
Direct
0.0000 0.0000 0.0000
0.5000 0.5000 0.5000
0.2500 0.2500 0.2500
0.7500 0.7500 0.7500
```

DOS at the Fermi energy: 4.1 states/eV/cell
total energy: -4.527 eV per atom
calculated density: 8.51 g/cm³
magnetization: 0.0 μB/f.u.

No. 22
DFT (GGA-PBE) results for crystalline YSc2NiPb at its relaxed geometry.

Geometry as POSCAR:
```
YSc2NiPb
1.0
4.9070 0.0000 0.0000
0.0000 4.9070 0.0000
0.0000 0.0000 5.2001
Y Sc Ni Pb
1 2 1 1
Direct
0.0000 0.0000 0.0000
0.0000 0.5000 0.5000
0.5000 0.0000 0.5000
0.0000 0.0000 0.5000
0.5000 0.5000 0.0000
```

DOS at the Fermi energy: 6.5 states/eV/cell
total energy: -5.993 eV per atom
calculated density: 5.90 g/cm³
magnetization: 0.0 μB/f.u.

No. 23
DFT (GGA-PBE) results for crystalline DyPuHgSb at its relaxed geometry.

Geometry as POSCAR:
```
DyPuHgSb
1.0
0.0000 3.7580 3.7580
3.7580 0.0000 3.7580
3.7580 3.7580 0.0000
Dy Pu Hg Sb
1 1 1 1
Direct
0.0000 0.0000 0.0000
0.5000 0.5000 0.5000
0.7500 0.7500 0.7500
0.2500 0.2500 0.2500
```

DOS at the Fermi energy: 12.0 states/eV/cell
formation energy from raw total energies: -0.48 eV/atom
calculated density: 11.40 g/cm³
magnetization: 6.8 μB/f.u.

No. 24
DFT (GGA-PBE) results for crystalline ThGe3Te6 at its relaxed geometry.

Geometry as POSCAR:
```
ThGe3Te6
1.0
12.6597 0.0000 0.0000
0.0000 4.2026 0.0000
-4.5120 0.0000 11.8298
Th Ge Te
2 6 12
Direct
0.0471 0.2500 0.2019
0.9529 0.7500 0.7981
0.1728 0.2500 0.6384
0.3129 0.7500 0.0684
0.4824 0.2500 0.3571
0.5176 0.7500 0.6429
0.6871 0.2500 0.9316
0.8272 0.7500 0.3616
0.0593 0.7500 0.3981
0.1107 0.2500 0.9726
0.2145 0.7500 0.7891
0.2514 0.7500 0.2584
0.3633 0.2500 0.5585
0.4729 0.2500 0.1358
0.5271 0.7500 0.8642
0.6367 0.7500 0.4415
0.7486 0.2500 0.7416
0.7855 0.2500 0.2109
0.8893 0.7500 0.0274
0.9407 0.2500 0.6019
```

DOS at the Fermi energy: 9.5 states/eV/cell
formation energy from raw total energies: -0.37 eV/atom
calculated density: 6.41 g/cm³
magnetization: 0.0 μB/f.u.